First-principles (SCAN) data for a crystal of Na2NiO2 relaxed with PBEsol, as listed in Alexandria.

Cell and atoms, written as CIF:
```
data_Na2NiO2
_space_group_name_H-M_alt 'I 4/m m m'
_space_group_IT_number 139
_space_group_name_Hall '-I 4 2'
_cell_length_a 4.423
_cell_length_b 4.423
_cell_length_c 9.552
_cell_angle_alpha 90.00
_cell_angle_beta 90.00
_cell_angle_gamma 90.00
loop_
_atom_site_label
_atom_site_fract_x
_atom_site_fract_y
_atom_site_fract_z
Na1 0.000 0.500 0.250
Ni1 0.000 0.000 0.000
O1 0.000 0.000 0.176
```

Properties
* energy relative to the lowest polymorph listed for this composition: 0.126 eV per atom
* theoretical density: 2.43 g cm⁻³
* magnetic moment: 4.09 μB/cell
* density of states at the Fermi level: 0.00 states/eV per cell
* energy relative to the elements, uncorrected: -1.310 eV per atom